i) ## TiGeOs3 (PBE)

Data for crystalline TiGeOs3 at its relaxed geometry.

extended XYZ file:
```
5
Lattice="4.473 0.000 0.000 0.000 4.473 0.000 0.000 0.000 4.473" Properties=species:S:1:pos:R:3 pbc="T T T"
Ti 0.000 0.000 0.000
Ge 2.237 2.237 2.237
Os 0.000 2.237 2.237
Os 2.237 0.000 2.237
Os 2.237 2.237 0.000
```

Output
- magnetic moment (μB/atom) = 0.0000

---

ii) ## TiGeOs3 (PBE)

Data for crystalline TiGeOs3 at its relaxed geometry.

extended XYZ file:
```
5
Lattice="4.585 0.000 0.000 0.000 4.585 0.000 0.000 0.000 4.585" Properties=species:S:1:pos:R:3 pbc="T T T"
Ti 0.000 0.000 0.000
Ge 2.293 2.293 2.293
Os 0.000 0.000 2.293
Os 0.000 2.293 0.000
Os 2.293 0.000 0.000
```

Output
- magnetic moment (μB/atom) = 0.1643

---

The winner here is i), beating the second structure by 0.615 eV/atom.

---

i) ## Tl2GeOs2 (PBE)

Data for crystalline Tl2GeOs2 at its relaxed geometry.

extended XYZ file:
```
10
Lattice="8.497 0.000 0.000 0.000 8.497 0.000 0.000 0.000 2.904" Properties=species:S:1:pos:R:3 pbc="T T T"
Tl 1.622 2.626 0.000
Tl 2.626 6.875 0.000
Tl 5.870 1.622 0.000
Tl 6.875 5.870 0.000
Ge 0.000 0.000 0.000
Ge 4.248 4.248 0.000
Os 0.842 5.090 1.452
Os 3.407 0.842 1.452
Os 5.090 7.655 1.452
Os 7.655 3.407 1.452
```

Output
- magnetic moment (μB/atom) = 0.0000

---

ii) ## Tl2GeOs2 (PBE)

Data for crystalline Tl2GeOs2 at its relaxed geometry.

extended XYZ file:
```
10
Lattice="3.551 0.000 0.000 0.000 3.551 0.000 0.000 0.000 17.958" Properties=species:S:1:pos:R:3 pbc="T T T"
Tl 0.000 0.000 1.979
Tl 0.000 0.000 15.978
Tl 1.775 1.775 6.999
Tl 1.775 1.775 10.958
Ge 0.000 0.000 8.979
Ge 1.775 1.775 0.000
Os 0.000 1.775 4.489
Os 0.000 1.775 13.468
Os 1.775 0.000 4.489
Os 1.775 0.000 13.468
```

Output
- magnetic moment (μB/atom) = 0.0000

---

The winner here is ii), beating the second structure by 0.247 eV/atom.